First-principles (meta-GGA SCAN) data for a PBEsol-optimized structure of Na2S2O3, as listed in the Alexandria database.

Cell lengths 8.458, 8.098, 6.415 Å; angles 90.00, 96.85, 90.00 degrees
Space group P2_1/c (No. 14)
Asymmetric unit:
Na 0.047 0.196 0.127 (multiplicity 4)
Na 0.414 0.624 0.704 (multiplicity 4)
S 0.234 0.547 0.203 (multiplicity 4)
S 0.292 0.108 0.478 (multiplicity 4)
O 0.119 0.039 0.824 (multiplicity 4)
O 0.162 0.702 0.113 (multiplicity 4)
O 0.385 0.587 0.338 (multiplicity 4)

Results
energy relative to the elements, uncorrected = -1644 meV per atom

***

First-principles (meta-GGA SCAN) data for a PBEsol-optimized structure of KAgRu2, as listed in the Alexandria database.

Cell lengths 8.111, 2.701, 7.443 Å; angles 90.00, 93.32, 90.00 degrees
Space group Cm (No. 8)
Asymmetric unit:
K 0.000 0.000 0.000 (multiplicity 2)
Ag 0.261 0.500 0.327 (multiplicity 2)
Ru 0.238 0.000 0.671 (multiplicity 2)
Ru 0.495 0.000 0.550 (multiplicity 2)

Results
energy above the most stable polymorph in this dataset = 0.0 meV per atom
calculated formation energy = 0.657 eV per atom

***

First-principles (meta-GGA SCAN) data for a PBEsol-optimized structure of Mn2TcTe, as listed in the Alexandria database.

Cell lengths 6.057, 6.057, 6.057 Å; angles 90.00, 90.00, 90.00 degrees
Space group F-43m (No. 216)
Asymmetric unit:
Mn 0.000 0.000 0.000 (multiplicity 4)
Mn 0.250 0.250 0.250 (multiplicity 4)
Tc 0.000 0.000 0.500 (multiplicity 4)
Te 0.250 0.250 0.750 (multiplicity 4)

Results
energy relative to the elements, uncorrected = 81 meV per atom

***

First-principles (meta-GGA SCAN) data for a PBEsol-optimized structure of BaFeSb2, as listed in the Alexandria database.

Cell lengths 3.641, 3.641, 7.760 Å; angles 90.00, 90.00, 90.00 degrees
Space group P4mm (No. 99)
Asymmetric unit:
Ba 0.000 0.000 0.000 (multiplicity 1)
Fe 0.500 0.500 0.352 (multiplicity 1)
Sb 0.000 0.000 0.434 (multiplicity 1)
Sb 0.500 0.500 0.691 (multiplicity 1)

Results
energy relative to the elements, uncorrected = 18 meV per atom

***

First-principles (meta-GGA SCAN) data for a PBEsol-optimized structure of BeCrRh2, as listed in the Alexandria database.

Cell lengths 2.6388, 2.6388, 23.3662 Å; angles 90.00, 90.00, 120.00 degrees
Space group R-3m (No. 166, hexagonal axes)
Asymmetric unit:
Be 0.0000 0.0000 0.0000 (multiplicity 3)
Cr 0.0000 0.0000 0.5000 (multiplicity 3)
Rh 0.0000 0.0000 0.2545 (multiplicity 6)

Results
calculated formation energy = -0.175 eV per atom

***

First-principles (meta-GGA SCAN) data for a PBEsol-optimized structure of K2TaSb, as listed in the Alexandria database.

Cell lengths 6.403, 6.403, 2.987 Å; angles 90.00, 90.00, 90.00 degrees
Space group P4/mmm (No. 123)
Asymmetric unit:
K 0.000 0.500 0.000 (multiplicity 2)
Ta 0.000 0.000 0.500 (multiplicity 1)
Sb 0.500 0.500 0.500 (multiplicity 1)

Results
energy relative to the elements, uncorrected = 1090 meV per atom

***

Table of DOS(E_F) (states/eV/atom), in record order: 0.0000; 0.7590; 0.6467; 0.8321; 0.8185; 0.9575
Table of calculated total energy (eV for the cell shown), in record order: -231.55; -213.44; -433.99; -132.13; -272.95; -116.14